Entry 1:
Computed, not measured: Cs2UNi2Se4 after structural relaxation at the GGA-PBE level of DFT.

Calculated values
ΔE_f (raw), eV/atom: -0.9051
E_tot, eV/atom: -5.182
Mass density, g/cm3: 6.42

Lattice parameters (Å, degrees): 7.625 7.625 8.550 106.86 106.86 30.74
Fractional coordinates of all 9 atoms:
Cs  0.140  0.140  0.064
Cs  0.860  0.860  0.936
U  0.000  0.000  0.500
Ni  0.322  0.322  0.513
Ni  0.678  0.678  0.487
Se  0.196  0.196  0.647
Se  0.478  0.478  0.718
Se  0.522  0.522  0.282
Se  0.804  0.804  0.353

=====

Entry 2:
Computed, not measured: SmMgSc2 after structural relaxation at the GGA-PBE level of DFT.

Calculated values
Calculated formation energy, eV per atom: 0.1191
Energy above the lowest structure with this stoichiometry, meV/atom: 120
E_tot, eV/atom: -4.625
Mass density, g/cm3: 4.19

Lattice parameters (Å, degrees): 5.292 5.292 5.292 60.00 60.00 60.00
Fractional coordinates of all 4 atoms:
Sm  0.000  0.000  0.000
Mg  0.500  0.500  0.500
Sc  0.250  0.250  0.250
Sc  0.750  0.750  0.750

=====

Entry 3:
Computed, not measured: BaSc2Cl after structural relaxation at the GGA-PBE level of DFT.

Calculated values
Energy above the lowest structure with this stoichiometry, meV/atom: 55
ΔE_f (raw), eV/atom: -0.4398
E_tot, eV/atom: -4.548
Mass density, g/cm3: 3.78

Lattice parameters (Å, degrees): 3.523 3.523 10.151 90.00 90.00 113.73
Fractional coordinates of all 4 atoms:
Ba  0.000  0.000  0.000
Sc  0.000  0.000  0.545
Sc  0.500  0.500  0.311
Cl  0.500  0.500  0.735

=====

Entry 4:
Computed, not measured: Sr2LiScSe4 after structural relaxation at the GGA-PBE level of DFT.

Calculated values
ΔE_f (raw), eV/atom: -1.7443
E_tot, eV/atom: -4.938
Mass density, g/cm3: 4.38

Lattice parameters (Å, degrees): 7.179 4.190 7.229 90.00 108.68 90.00
Fractional coordinates of all 8 atoms:
Sr  0.000  0.000  0.000
Sr  0.000  0.500  0.500
Li  0.500  0.000  0.500
Sc  0.500  0.500  0.000
Se  0.282  0.500  0.248
Se  0.285  0.000  0.766
Se  0.715  0.000  0.234
Se  0.718  0.500  0.752

=====

Entry 5:
Computed, not measured: NdMg3Zn after structural relaxation at the GGA-PBE level of DFT.

Calculated values
Calculated formation energy, eV per atom: -0.1315
E_tot, eV/atom: -2.297
Mass density, g/cm3: 3.87

Lattice parameters (Å, degrees): 7.439 4.256 7.987 90.00 106.47 90.00
Fractional coordinates of all 10 atoms:
Nd  0.182  0.250  0.164
Nd  0.818  0.750  0.836
Mg  0.088  0.250  0.653
Mg  0.337  0.750  0.898
Mg  0.344  0.750  0.520
Mg  0.656  0.250  0.480
Mg  0.663  0.250  0.102
Mg  0.912  0.750  0.347
Zn  0.492  0.250  0.748
Zn  0.508  0.750  0.252

=====

Entry 6:
Computed, not measured: Pm2OsSe after structural relaxation at the GGA-PBE level of DFT.

Calculated values
ΔE_f (raw), eV/atom: -0.7618
E_tot, eV/atom: -6.816
Mass density, g/cm3: 10.00

Lattice parameters (Å, degrees): 3.536 3.536 7.426 90.00 90.00 90.00
Fractional coordinates of all 4 atoms:
Pm  0.000  0.000  0.234
Pm  0.000  0.000  0.766
Os  0.500  0.500  0.000
Se  0.500  0.500  0.500

=====

Entry 7:
Computed, not measured: LaCu2AgF8 after structural relaxation at the GGA-PBE level of DFT.

Calculated values
ΔE_f (raw), eV/atom: -2.2602
E_tot, eV/atom: -4.839
Mass density, g/cm3: 5.01

Lattice parameters (Å, degrees): 6.702 6.702 6.702 129.62 129.62 74.02
Fractional coordinates of all 12 atoms:
La  0.000  0.000  0.000
Cu  0.500  0.500  0.000
Cu  0.750  0.250  0.500
Ag  0.250  0.750  0.500
F  0.262  0.399  0.564
F  0.302  0.738  0.137
F  0.400  0.067  0.080
F  0.601  0.165  0.863
F  0.680  0.600  0.667
F  0.835  0.698  0.436
F  0.933  0.013  0.333
F  0.987  0.320  0.920

=====

Entry 8:
Computed, not measured: Pr6AlSe5 after structural relaxation at the GGA-PBE level of DFT.

Calculated values
ΔE_f (raw), eV/atom: -1.5935
E_tot, eV/atom: -5.747
Mass density, g/cm3: 6.22

Lattice parameters (Å, degrees): 7.451 7.451 7.447 99.57 99.57 119.91
Fractional coordinates of all 12 atoms:
Pr  0.083  0.413  0.249
Pr  0.249  0.249  0.754
Pr  0.413  0.083  0.249
Pr  0.587  0.917  0.751
Pr  0.751  0.751  0.246
Pr  0.917  0.587  0.751
Al  0.000  0.000  0.000
Se  0.167  0.833  0.500
Se  0.333  0.667  0.000
Se  0.500  0.500  0.500
Se  0.667  0.333  0.000
Se  0.833  0.167  0.500

=====

Q: Among the records above, which one has the highest E_tot?
A: NdMg3Zn

=====

Q: Among the records above, which one has the highest E_tot?
A: NdMg3Zn

=====

Q: E_tot of number 6 (Pm2OsSe)?
A: -6.816 eV/atom

=====

Q: Among the records above, which one has the lowest E_tot?
A: Pm2OsSe